# PBE CuOs, relaxed
data_CuOs
_symmetry_space_group_name_H-M 'F m -3 m'
_symmetry_Int_Tables_number 225
_symmetry_space_group_name_Hall '-F 4 2 3'
_cell_length_a 4.941
_cell_length_b 4.941
_cell_length_c 4.941
_cell_angle_alpha 90.00
_cell_angle_beta 90.00
_cell_angle_gamma 90.00
loop_
_atom_site_label
_atom_site_type_symbol
_atom_site_fract_x
_atom_site_fract_y
_atom_site_fract_z
Cu1 Cu 0.000 0.000 0.000
Os1 Os 0.000 0.000 0.500
# - DOS(E_F) (states/eV/cell) = 7.3
# - excess energy over the best structure of this formula in the dataset (eV/f.u.) = 2.665
# - energy (eV per atom) = -6.129


# PBE Cu2Os, relaxed
data_Cu2Os
_symmetry_space_group_name_H-M 'C 1 2/m 1'
_symmetry_Int_Tables_number 12
_cell_length_a 9.860
_cell_length_b 2.640
_cell_length_c 6.257
_cell_angle_alpha 90.00
_cell_angle_beta 105.57
_cell_angle_gamma 90.00
loop_
_symmetry_equiv_pos_as_xyz
'x,y,z'
'-x,-y,-z'
'-x,y,-z'
'x,-y,z'
'x+1/2,y+1/2,z'
'-x+1/2,-y+1/2,-z'
'-x+1/2,y+1/2,-z'
'x+1/2,-y+1/2,z'
loop_
_atom_site_label
_atom_site_type_symbol
_atom_site_fract_x
_atom_site_fract_y
_atom_site_fract_z
Cu1 Cu 0.021 0.000 0.305
Cu2 Cu 0.137 0.500 0.025
Os1 Os 0.204 0.500 0.641
# - DOS(E_F) (states/eV/cell) = 11.4
# - excess energy over the best structure of this formula in the dataset (eV/f.u.) = 0.317
# - energy (eV per atom) = -6.160


# PBE Cu3Os, relaxed
data_Cu3Os
_symmetry_space_group_name_H-M 'P 63/m m c'
_symmetry_Int_Tables_number 194
_symmetry_space_group_name_Hall '-P 6c 2c'
_cell_length_a 5.2600
_cell_length_b 5.2600
_cell_length_c 4.2142
_cell_angle_alpha 90.00
_cell_angle_beta 90.00
_cell_angle_gamma 120.00
loop_
_atom_site_label
_atom_site_type_symbol
_atom_site_fract_x
_atom_site_fract_y
_atom_site_fract_z
Cu1 Cu 0.1660 0.3321 0.2500
Os1 Os 0.3333 0.6667 0.7500
# - DOS(E_F) (states/eV/cell) = 8.8
# - excess energy over the best structure of this formula in the dataset (eV/f.u.) = 0.960
# - energy (eV per atom) = -5.453


# PBE Cu4Os, relaxed
data_Cu4Os
_symmetry_space_group_name_H-M 'I 4/m'
_symmetry_Int_Tables_number 87
_symmetry_space_group_name_Hall '-I 4'
_cell_length_a 5.780
_cell_length_b 5.780
_cell_length_c 3.763
_cell_angle_alpha 90.00
_cell_angle_beta 90.00
_cell_angle_gamma 90.00
loop_
_atom_site_label
_atom_site_type_symbol
_atom_site_fract_x
_atom_site_fract_y
_atom_site_fract_z
Cu1 Cu 0.099 0.700 0.000
Os1 Os 0.000 0.000 0.500
# - DOS(E_F) (states/eV/cell) = 8.2
# - excess energy over the best structure of this formula in the dataset (eV/f.u.) = 1.002
# - energy (eV per atom) = -5.169


# PBE Cu3Os, relaxed
data_Cu3Os
_symmetry_space_group_name_H-M 'R -3 m'
_symmetry_Int_Tables_number 166
_symmetry_space_group_name_Hall '-R 3 2"'
_cell_length_a 8.4433
_cell_length_b 8.4433
_cell_length_c 2.4901
_cell_angle_alpha 90.00
_cell_angle_beta 90.00
_cell_angle_gamma 120.00
loop_
_atom_site_label
_atom_site_type_symbol
_atom_site_fract_x
_atom_site_fract_y
_atom_site_fract_z
Cu1 Cu 0.0000 0.5000 0.0000
Os1 Os 0.0000 0.0000 0.0000
# - DOS(E_F) (states/eV/cell) = 5.7
# - excess energy over the best structure of this formula in the dataset (eV/f.u.) = 0.407
# - energy (eV per atom) = -5.591


# PBE CuOs, relaxed
data_CuOs
_symmetry_space_group_name_H-M 'P m -3 m'
_symmetry_Int_Tables_number 221
_symmetry_space_group_name_Hall '-P 4 2 3'
_cell_length_a 2.963
_cell_length_b 2.963
_cell_length_c 2.963
_cell_angle_alpha 90.00
_cell_angle_beta 90.00
_cell_angle_gamma 90.00
loop_
_atom_site_label
_atom_site_type_symbol
_atom_site_fract_x
_atom_site_fract_y
_atom_site_fract_z
Cu1 Cu 0.000 0.000 0.000
Os1 Os 0.500 0.500 0.500
# - DOS(E_F) (states/eV/cell) = 1.9
# - excess energy over the best structure of this formula in the dataset (eV/f.u.) = 0.814
# - energy (eV per atom) = -7.054


# PBE CuOs2, relaxed
data_CuOs2
_symmetry_space_group_name_H-M 'P 6/m m m'
_symmetry_Int_Tables_number 191
_symmetry_space_group_name_Hall '-P 6 2'
_cell_length_a 4.3341
_cell_length_b 4.3341
_cell_length_c 2.6509
_cell_angle_alpha 90.00
_cell_angle_beta 90.00
_cell_angle_gamma 120.00
loop_
_atom_site_label
_atom_site_type_symbol
_atom_site_fract_x
_atom_site_fract_y
_atom_site_fract_z
Cu1 Cu 0.0000 0.0000 0.0000
Os1 Os 0.3333 0.6667 0.5000
# - DOS(E_F) (states/eV/cell) = 3.6
# - excess energy over the best structure of this formula in the dataset (eV/f.u.) = 1.062
# - energy (eV per atom) = -8.282


# PBE CuOs2, relaxed
data_CuOs2
_symmetry_space_group_name_H-M 'P 63/m m c'
_symmetry_Int_Tables_number 194
_symmetry_space_group_name_Hall '-P 6c 2c'
_cell_length_a 4.2562
_cell_length_b 4.2562
_cell_length_c 5.6936
_cell_angle_alpha 90.00
_cell_angle_beta 90.00
_cell_angle_gamma 120.00
loop_
_atom_site_label
_atom_site_type_symbol
_atom_site_fract_x
_atom_site_fract_y
_atom_site_fract_z
Cu1 Cu 0.0000 0.0000 0.2500
Os1 Os 0.3333 0.6667 0.0351
# - DOS(E_F) (states/eV/cell) = 3.5
# - excess energy over the best structure of this formula in the dataset (eV/f.u.) = 0.866
# - energy (eV per atom) = -8.347


- Look up the excess energy over the best structure of this formula in the dataset of the seventh one.
  1.062 eV/f.u.


- The highest excess energy over the best structure of this formula in the dataset belongs to which entry?
  number 1


Copy entry 5 word for word.
# PBE Cu3Os, relaxed
data_Cu3Os
_symmetry_space_group_name_H-M 'R -3 m'
_symmetry_Int_Tables_number 166
_symmetry_space_group_name_Hall '-R 3 2"'
_cell_length_a 8.4433
_cell_length_b 8.4433
_cell_length_c 2.4901
_cell_angle_alpha 90.00
_cell_angle_beta 90.00
_cell_angle_gamma 120.00
loop_
_atom_site_label
_atom_site_type_symbol
_atom_site_fract_x
_atom_site_fract_y
_atom_site_fract_z
Cu1 Cu 0.0000 0.5000 0.0000
Os1 Os 0.0000 0.0000 0.0000
# - DOS(E_F) (states/eV/cell) = 5.7
# - excess energy over the best structure of this formula in the dataset (eV/f.u.) = 0.407
# - energy (eV per atom) = -5.591